First-principles (PBE) data for crystalline Rb3U3RhSe8 at its relaxed geometry, as listed in the Alexandria database.

## Properties
VASP energy in eV/atom: -5.860
N(E_F) in states/eV/atom: 1.190
Formation energy from raw total energies in eV per formula unit: -15.9

The structure in POSCAR format:
```
Rb3U3RhSe8
1.0
4.037 2.331 8.321
-4.037 2.331 8.321
0.000 -4.662 8.321
Rb U Rh Se
3 3 1 8
Direct
0.000 0.500 0.500
0.500 0.000 0.500
0.500 0.500 0.000
0.000 0.000 0.500
0.000 0.500 0.000
0.500 0.000 0.000
0.500 0.500 0.500
0.234 0.234 0.234
0.247 0.719 0.719
0.281 0.281 0.753
0.281 0.753 0.281
0.719 0.247 0.719
0.719 0.719 0.247
0.753 0.281 0.281
0.766 0.766 0.766
```

***

First-principles (PBE) data for crystalline Co2SiNi at its relaxed geometry, as listed in the Alexandria database.

## Properties
VASP energy in eV/atom: -6.584
N(E_F) in states/eV/atom: 0.827
Formation energy from raw total energies in eV per formula unit: -0.9

The structure in POSCAR format:
```
Co2SiNi
1.0
2.586 0.000 0.000
0.000 3.374 0.000
0.000 0.000 4.977
Co Si Ni
2 1 1
Direct
0.000 0.000 0.000
0.500 0.500 0.238
0.500 0.500 0.746
0.000 0.000 0.504
```

***

First-principles (PBE) data for crystalline MnOsCl2 at its relaxed geometry, as listed in the Alexandria database.

## Properties
VASP energy in eV/atom: -5.647
Energy above the lowest structure with this stoichiometry in meV/atom: 407
N(E_F) in states/eV/atom: 0.850
Formation energy from raw total energies in eV per formula unit: 1.5

The structure in POSCAR format:
```
MnOsCl2
1.0
3.098 0.000 0.000
0.000 3.546 0.000
0.000 0.000 7.252
Mn Os Cl
1 1 2
Direct
0.000 0.000 0.000
0.500 0.500 0.137
0.000 0.000 0.375
0.500 0.500 0.808
```